Record 1
The following is a DFT calculation (PBE-GGA) of a relaxed structure of Er2B3Os2.

a b c (Å): 10.753 3.643 5.948
angles (deg): 90.00 123.15 90.00
Atoms (fractional coordinates):
Er 0.127 0.000 0.272
Er 0.373 0.500 0.728
Er 0.627 0.500 0.272
Er 0.873 0.000 0.728
B 0.000 0.500 0.500
B 0.102 0.500 0.889
B 0.398 0.000 0.111
B 0.500 0.000 0.500
B 0.602 0.000 0.889
B 0.898 0.500 0.111
Os 0.158 0.000 0.788
Os 0.342 0.500 0.212
Os 0.658 0.500 0.788
Os 0.842 0.000 0.212

As for the total energy: -106.02 eV for the cell shown. Its space group is C2/m, No. 12.

=====

Record 2
The following is a DFT calculation (PBE-GGA) of a relaxed structure of ErB3Os3.

a b c (Å): 5.856 5.856 5.856
angles (deg): 90.00 90.00 90.00
Atoms (fractional coordinates):
Er 0.000 0.000 0.000
Er 0.500 0.500 0.500
B 0.000 0.250 0.500
B 0.000 0.750 0.500
B 0.250 0.500 0.000
B 0.500 0.000 0.250
B 0.500 0.000 0.750
B 0.750 0.500 0.000
Os 0.000 0.500 0.250
Os 0.000 0.500 0.750
Os 0.250 0.000 0.500
Os 0.500 0.250 0.000
Os 0.500 0.750 0.000
Os 0.750 0.000 0.500

As for the total energy: -116.18 eV for the cell shown. Its space group is Pm-3n, No. 223.

=====

Record 3
The following is a DFT calculation (PBE-GGA) of a relaxed structure of ErB4Os4.

a b c (Å): 7.533 7.533 4.023
angles (deg): 90.00 90.00 90.00
Atoms (fractional coordinates):
Er 0.250 0.250 0.250
Er 0.750 0.750 0.750
B 0.031 0.914 0.136
B 0.086 0.531 0.636
B 0.414 0.969 0.636
B 0.469 0.586 0.136
B 0.531 0.414 0.864
B 0.586 0.031 0.364
B 0.914 0.469 0.364
B 0.969 0.086 0.864
Os 0.104 0.641 0.133
Os 0.141 0.896 0.633
Os 0.359 0.604 0.633
Os 0.396 0.859 0.133
Os 0.604 0.141 0.867
Os 0.641 0.396 0.367
Os 0.859 0.104 0.367
Os 0.896 0.359 0.867

As for the total energy: -159.07 eV for the cell shown. Its space group is P4_2/n, No. 86.

=====

Record 4
The following is a DFT calculation (PBE-GGA) of a relaxed structure of ErBOs2.

a b c (Å): 3.136 3.136 21.424
angles (deg): 90.00 90.00 120.00
Atoms (fractional coordinates):
Er 0.000 0.000 0.000
Er 0.333 0.667 0.667
Er 0.667 0.333 0.333
B 0.000 0.000 0.500
B 0.333 0.667 0.167
B 0.667 0.333 0.833
Os 0.000 0.000 0.224
Os 0.000 0.000 0.776
Os 0.333 0.667 0.443
Os 0.333 0.667 0.891
Os 0.667 0.333 0.109
Os 0.667 0.333 0.557

As for the total energy: -99.27 eV for the cell shown. Its space group is R-3m, No. 166.

=====

Record 5
The following is a DFT calculation (PBE-GGA) of a relaxed structure of ErB4Os.

a b c (Å): 5.948 11.499 3.556
angles (deg): 90.00 90.00 90.00
Atoms (fractional coordinates):
Er 0.129 0.150 0.000
Er 0.371 0.650 0.000
Er 0.629 0.350 0.000
Er 0.871 0.850 0.000
B 0.024 0.692 0.500
B 0.113 0.547 0.500
B 0.136 0.970 0.500
B 0.210 0.814 0.500
B 0.290 0.314 0.500
B 0.364 0.470 0.500
B 0.387 0.047 0.500
B 0.476 0.192 0.500
B 0.524 0.808 0.500
B 0.613 0.953 0.500
B 0.636 0.530 0.500
B 0.710 0.686 0.500
B 0.790 0.186 0.500
B 0.864 0.030 0.500
B 0.887 0.453 0.500
B 0.976 0.308 0.500
Os 0.142 0.406 0.000
Os 0.358 0.906 0.000
Os 0.642 0.094 0.000
Os 0.858 0.594 0.000

As for the total energy: -184.28 eV for the cell shown. Its space group is Pbam, No. 55.

=====

Record 6
The following is a DFT calculation (PBE-GGA) of a relaxed structure of Er3B7Os.

a b c (Å): 7.989 7.989 9.267
angles (deg): 90.00 90.00 154.70
Atoms (fractional coordinates):
Er 0.106 0.894 0.560
Er 0.106 0.894 0.940
Er 0.245 0.755 0.250
Er 0.755 0.245 0.750
Er 0.894 0.106 0.060
Er 0.894 0.106 0.440
B 0.273 0.727 0.534
B 0.273 0.727 0.966
B 0.368 0.632 0.650
B 0.368 0.632 0.850
B 0.455 0.545 0.250
B 0.480 0.520 0.596
B 0.480 0.520 0.904
B 0.520 0.480 0.096
B 0.520 0.480 0.404
B 0.545 0.455 0.750
B 0.632 0.368 0.150
B 0.632 0.368 0.350
B 0.727 0.273 0.034
B 0.727 0.273 0.466
Os 0.054 0.946 0.250
Os 0.946 0.054 0.750

As for the total energy: -157.98 eV for the cell shown. Its space group is Cmcm, No. 63.

=====

Record 7
The following is a DFT calculation (PBE-GGA) of a relaxed structure of ErB3Os.

a b c (Å): 7.377 7.377 4.880
angles (deg): 90.00 90.00 154.98
Atoms (fractional coordinates):
Er 0.091 0.909 0.750
Er 0.909 0.091 0.250
B 0.187 0.813 0.250
B 0.284 0.716 0.036
B 0.284 0.716 0.464
B 0.716 0.284 0.536
B 0.716 0.284 0.964
B 0.813 0.187 0.750
Os 0.415 0.585 0.750
Os 0.585 0.415 0.250

As for the total energy: -72.83 eV for the cell shown. Its space group is Cmcm, No. 63.

=====

Record 8
The following is a DFT calculation (PBE-GGA) of a relaxed structure of Er3B8Os3.

a b c (Å): 7.350 7.350 7.350
angles (deg): 154.46 100.73 84.92
Atoms (fractional coordinates):
Er 0.000 0.000 0.000
Er 0.290 0.290 0.000
Er 0.710 0.710 0.000
B 0.010 0.303 0.707
B 0.159 0.860 0.299
B 0.404 0.697 0.707
B 0.439 0.140 0.299
B 0.561 0.860 0.701
B 0.596 0.303 0.293
B 0.841 0.140 0.701
B 0.990 0.697 0.293
Os 0.258 0.500 0.758
Os 0.500 0.000 0.500
Os 0.742 0.500 0.242

As for the total energy: -102.69 eV for the cell shown. Its space group is Immm, No. 71.

=====

Record 9
The following is a DFT calculation (PBE-GGA) of a relaxed structure of Er2B10Os.

a b c (Å): 5.706 11.327 4.170
angles (deg): 90.00 90.00 90.00
Atoms (fractional coordinates):
Er 0.228 0.128 0.000
Er 0.272 0.628 0.000
Er 0.728 0.372 0.000
Er 0.772 0.872 0.000
B 0.059 0.307 0.500
B 0.120 0.959 0.500
B 0.133 0.803 0.500
B 0.225 0.381 0.199
B 0.225 0.381 0.801
B 0.275 0.881 0.199
B 0.275 0.881 0.801
B 0.367 0.303 0.500
B 0.380 0.459 0.500
B 0.441 0.807 0.500
B 0.559 0.193 0.500
B 0.620 0.541 0.500
B 0.633 0.697 0.500
B 0.725 0.119 0.199
B 0.725 0.119 0.801
B 0.775 0.619 0.199
B 0.775 0.619 0.801
B 0.867 0.197 0.500
B 0.880 0.041 0.500
B 0.941 0.693 0.500
Os 0.000 0.500 0.500
Os 0.500 0.000 0.500

As for the total energy: -186.00 eV for the cell shown. Its space group is Pbam, No. 55.

=====

Record 10
The following is a DFT calculation (PBE-GGA) of a relaxed structure of ErB2OsRu.

a b c (Å): 4.019 4.019 9.206
angles (deg): 90.00 90.00 90.00
Atoms (fractional coordinates):
Er 0.000 0.000 0.000
Er 0.500 0.500 0.500
B 0.000 0.000 0.322
B 0.000 0.000 0.678
B 0.500 0.500 0.178
B 0.500 0.500 0.822
Os 0.000 0.500 0.250
Os 0.500 0.000 0.750
Ru 0.000 0.500 0.750
Ru 0.500 0.000 0.250

As for the total energy: -81.25 eV for the cell shown. Its space group is I-4m2, No. 119.

=====

Record 11
The following is a DFT calculation (PBE-GGA) of a relaxed structure of Er2BP.

a b c (Å): 3.796 3.796 19.400
angles (deg): 90.00 90.00 120.00
Atoms (fractional coordinates):
Er 0.000 0.000 0.248
Er 0.000 0.000 0.752
Er 0.333 0.667 0.419
Er 0.333 0.667 0.914
Er 0.667 0.333 0.086
Er 0.667 0.333 0.581
B 0.000 0.000 0.500
B 0.333 0.667 0.167
B 0.667 0.333 0.833
P 0.000 0.000 0.000
P 0.333 0.667 0.667
P 0.667 0.333 0.333

As for the total energy: -71.13 eV for the cell shown. Its space group is R-3m, No. 166.

=====

Record 12
The following is a DFT calculation (PBE-GGA) of a relaxed structure of ErBP.

a b c (Å): 7.995 7.133 3.700
angles (deg): 90.00 107.64 90.00
Atoms (fractional coordinates):
Er 0.000 0.246 0.000
Er 0.000 0.754 0.000
Er 0.500 0.254 0.000
Er 0.500 0.746 0.000
B 0.098 0.500 0.530
B 0.402 0.000 0.470
B 0.598 0.000 0.530
B 0.902 0.500 0.470
P 0.197 0.000 0.615
P 0.303 0.500 0.385
P 0.697 0.500 0.615
P 0.803 0.000 0.385

As for the total energy: -74.76 eV for the cell shown. Its space group is C2/m, No. 12.